VASP calculation (PBE+U) on WSe2O6 after structural relaxation.

Cell lengths 4.967, 4.967, 7.439 Å; angles 70.51, 70.55, 60.00 degrees
Fractional positions:
1 W 0.667 0.667 0.999
2 Se 0.237 0.237 0.290
3 Se 0.430 0.430 0.710
4 O 0.582 0.286 0.187
5 O 0.287 0.945 0.187
6 O 0.945 0.582 0.187
7 O 0.410 0.707 0.813
8 O 0.707 0.070 0.813
9 O 0.070 0.410 0.813

- E_tot: -5.99 eV per atom
- Density of states at the Fermi level: 0.0 states/eV/cell
- Space group: R3